Record 1
The following is a DFT calculation (PBE-GGA) of a geometry-optimized HoMgFe structure.

It has space group F-43m (No. 216), with a = 6.720 Å, b = 6.720 Å, c = 6.720 Å, α = 90.00°, β = 90.00° and γ = 90.00°. The distinct sites, in fractional coordinates, are Ho at (0.000, 0.000, 0.000), Mg at (0.250, 0.250, 0.250) and Fe at (0.250, 0.250, 0.750).

The crystal system is cubic. The calculation puts the total energy at -3.832 eV/atom. The value obtained for the calculated volume is 303.45 Å³/cell.


Record 2
The following is a DFT calculation (PBE-GGA) of a geometry-optimized Cs4ZrO4 structure.

It has space group C2/m (No. 12), with a = 10.412 Å, b = 6.880 Å, c = 6.587 Å, α = 90.00°, β = 106.79° and γ = 90.00°. The distinct sites, in fractional coordinates, are Cs at (0.108, 0.000, 0.333), Cs at (0.188, 0.500, 0.090), Zr at (0.000, 0.500, 0.500) and O at (0.110, 0.291, 0.696).

The crystal system is monoclinic. The calculation puts the total energy at -5.142 eV/atom. The value obtained for the calculated volume is 451.76 Å³/cell.


Record 3
The following is a DFT calculation (PBE-GGA) of a geometry-optimized ZnS2 structure.

It has space group Fm-3m (No. 225), with a = 6.020 Å, b = 6.020 Å, c = 6.020 Å, α = 90.00°, β = 90.00° and γ = 90.00°. The distinct sites, in fractional coordinates, are Zn at (0.000, 0.000, 0.000) and S at (0.250, 0.250, 0.250).

The crystal system is cubic. The calculation puts the total energy at -2.920 eV/atom. The value obtained for the calculated volume is 218.15 Å³/cell.


Record 4
The following is a DFT calculation (PBE-GGA) of a geometry-optimized HfTa3Si2 structure.

It has space group Fmm2 (No. 42), with a = 5.117 Å, b = 8.929 Å, c = 8.800 Å, α = 90.00°, β = 90.00° and γ = 90.00°. The distinct sites, in fractional coordinates, are Hf at (0.000, 0.000, 0.000), Ta at (0.000, 0.000, 0.675), Ta at (0.000, 0.161, 0.342) and Si at (0.250, 0.250, 0.093).

The crystal system is orthorhombic. The calculation puts the total energy at -9.993 eV/atom. The value obtained for the calculated volume is 402.04 Å³/cell.


Record 5
The following is a DFT calculation (PBE-GGA) of a geometry-optimized ErTlCdTe3 structure.

It has space group Pnma (No. 62), with a = 8.705 Å, b = 4.720 Å, c = 18.539 Å, α = 90.00°, β = 90.00° and γ = 90.00°. The distinct sites, in fractional coordinates, are Er at (0.234, 0.250, 0.040), Tl at (0.058, 0.250, 0.803), Cd at (0.085, 0.250, 0.342), Te at (0.005, 0.250, 0.576), Te at (0.126, 0.750, 0.943) and Te at (0.234, 0.250, 0.205).

The crystal system is orthorhombic. The calculation puts the total energy at -3.587 eV/atom. The value obtained for the calculated volume is 761.64 Å³/cell.


Record 6
The following is a DFT calculation (PBE-GGA) of a geometry-optimized Sc4Nb2Cd3N3 structure.

It has space group C2/c (No. 15), with a = 9.643 Å, b = 5.592 Å, c = 15.050 Å, α = 90.00°, β = 102.49° and γ = 90.00°. The distinct sites, in fractional coordinates, are Sc at (0.111, 0.081, 0.084), Sc at (0.221, 0.085, 0.416), Nb at (0.058, 0.417, 0.928), Cd at (0.000, 0.109, 0.750), Cd at (0.154, 0.430, 0.250), N at (0.085, 0.244, 0.500) and N at (0.250, 0.250, 0.000).

The crystal system is monoclinic. The calculation puts the total energy at -7.025 eV/atom. The value obtained for the calculated volume is 792.34 Å³/cell.


Record 7
The following is a DFT calculation (PBE-GGA) of a geometry-optimized Dy2Y2Lu3Ni2Te2 structure.

It has space group Imm2 (No. 44), with a = 3.826 Å, b = 15.485 Å, c = 9.497 Å, α = 90.00°, β = 90.00° and γ = 90.00°. The distinct sites, in fractional coordinates, are Dy at (0.000, 0.184, 0.000), Y at (0.000, 0.146, 0.648), Lu at (0.000, 0.366, 0.797), Lu at (0.000, 0.500, 0.380), Ni at (0.000, 0.259, 0.309), Te at (0.000, 0.000, 0.147) and Te at (0.000, 0.500, 0.039).

The crystal system is orthorhombic. The calculation puts the total energy at -5.495 eV/atom. The value obtained for the calculated volume is 562.64 Å³/cell.


Record 8
The following is a DFT calculation (PBE-GGA) of a geometry-optimized YCo2Re structure.

It has space group F-43m (No. 216), with a = 6.207 Å, b = 6.207 Å, c = 6.207 Å, α = 90.00°, β = 90.00° and γ = 90.00°. The distinct sites, in fractional coordinates, are Y at (0.000, 0.000, 0.000), Co at (0.000, 0.000, 0.500), Co at (0.250, 0.250, 0.250) and Re at (0.250, 0.250, 0.750).

The value obtained for the energy of formation is 560 meV per atom. The crystal system is cubic. The value obtained for the calculated volume is 239.14 Å³/cell.


Which formula does entry 1 have? HoMgFe